SrIn2Hg2 after structural relaxation, computed with PBEsol.

Summary:
Total moment = 0.0 μB per formula unit
Energy relative to the elements = -0.35 eV/atom
VASP energy = -0.0786 hartree per atom

Cell lengths 4.812, 4.812, 6.746 Å; angles 110.90, 110.90, 90.00 degrees
Atoms (fractional coordinates):
Hg 0.250 0.750 0.500
Hg 0.750 0.250 0.500
In 0.619 0.619 0.237
In 0.381 0.381 0.763
Sr 0.000 0.000 0.000

Nb3CoH after structural relaxation, computed with PBEsol.

Summary:
Total moment = 0.0 μB per formula unit
VASP energy = -0.3160 hartree per atom

Cell lengths 4.049, 4.049, 4.049 Å; angles 90.00, 90.00, 90.00 degrees
Atoms (fractional coordinates):
Nb 0.000 0.000 0.500
Nb 0.500 0.000 0.000
Nb 0.000 0.500 0.000
Co 0.500 0.500 0.500
H 0.000 0.000 0.000

CuH10SO9 after structural relaxation, computed with PBEsol.

Summary:
Total moment = 1.0 μB per formula unit
VASP energy = -0.1954 hartree per atom

Cell lengths 5.891, 5.939, 10.763 Å; angles 77.58, 82.40, 73.23 degrees
Atoms (fractional coordinates):
H 0.674 0.300 0.631
H 0.673 0.320 0.874
H 0.240 0.286 0.003
H 0.866 0.195 0.409
H 0.134 0.805 0.591
H 0.327 0.680 0.126
H 0.155 0.145 0.379
H 0.326 0.700 0.369
H 0.577 0.598 0.614
H 0.759 0.889 0.857
H 0.423 0.402 0.386
H 0.760 0.714 0.997
H 0.349 0.586 0.869
H 0.241 0.111 0.143
H 0.315 0.375 0.807
H 0.685 0.625 0.193
H 0.651 0.414 0.131
H 0.935 0.292 0.795
H 0.065 0.708 0.205
H 0.845 0.855 0.621
O 0.375 0.848 0.624
O 0.360 0.978 0.296
O 0.718 0.455 0.608
O 0.987 0.772 0.570
O 0.616 0.593 0.121
O 0.013 0.228 0.430
O 0.223 0.234 0.695
O 0.282 0.545 0.392
O 0.143 0.197 0.070
O 0.347 0.868 0.850
O 0.625 0.152 0.376
O 0.384 0.407 0.879
O 0.857 0.803 0.930
O 0.850 0.286 0.881
O 0.777 0.766 0.305
O 0.653 0.132 0.150
O 0.640 0.022 0.704
O 0.150 0.714 0.119
S 0.609 0.008 0.282
S 0.391 0.992 0.718
Cu 0.000 0.000 0.000
Cu 0.000 0.500 0.500

CsPdF2 after structural relaxation, computed with PBEsol.

Summary:
Total moment = 1.0 μB per formula unit
Energy relative to the elements, uncorrected = -1.0940 eV/atom
VASP energy = -0.1390 hartree per atom

Cell lengths 4.613, 4.613, 4.613 Å; angles 60.00, 60.00, 60.00 degrees
Atoms (fractional coordinates):
F 0.750 0.750 0.750
F 0.250 0.250 0.250
Cs 0.500 0.500 0.500
Pd 0.000 0.000 0.000

- What is the formula in the first record?
  SrIn2Hg2

- The highest VASP energy belongs to which entry?
  SrIn2Hg2